one:
Y2Si2S: optimized geometry, PBE-GGA.

Unit cell a=5.499 b=5.499 c=7.810 alpha=90.00 beta=90.00 gamma=90.00
Space group I4/mmm (No. 139)
Symmetry-distinct sites (fractional):
1 Y 0.000 0.500 0.250
2 Si 0.000 0.000 0.156
3 S 0.000 0.000 0.500

Calculated values
Total moment = 0.000 Bohr magnetons per cell


two:
Y2Si2S: optimized geometry, PBE-GGA.

Unit cell a=7.421 b=7.421 c=4.175 alpha=90.00 beta=90.00 gamma=90.00
Space group P4/mbm (No. 127)
Symmetry-distinct sites (fractional):
1 Y 0.185 0.315 0.000
2 Si 0.108 0.608 0.500
3 S 0.000 0.000 0.000

Calculated values
Total moment = 0.000 Bohr magnetons per cell


The calculated energies rank the structures as follows, beginning with the most stable: two, one.


one:
YSi3S: optimized geometry, PBE-GGA.

Unit cell a=4.646 b=4.646 c=4.646 alpha=90.00 beta=90.00 gamma=90.00
Space group Pm-3m (No. 221)
Symmetry-distinct sites (fractional):
1 Y 0.000 0.000 0.000
2 Si 0.000 0.500 0.500
3 S 0.500 0.500 0.500

Calculated values
Total moment = 0.000 Bohr magnetons per cell


two:
YSi3S: optimized geometry, PBE-GGA.

Unit cell a=5.396 b=5.396 c=5.396 alpha=90.00 beta=90.00 gamma=90.00
Space group Pm-3m (No. 221)
Symmetry-distinct sites (fractional):
1 Y 0.000 0.000 0.000
2 Si 0.000 0.000 0.500
3 S 0.500 0.500 0.500

Calculated values
Total moment = 0.000 Bohr magnetons per cell


The calculated energies rank the structures as follows, beginning with the most stable: one, two.


one:
ZnSi3S: optimized geometry, PBE-GGA.

Unit cell a=4.579 b=4.579 c=4.579 alpha=90.00 beta=90.00 gamma=90.00
Space group Pm-3m (No. 221)
Symmetry-distinct sites (fractional):
1 Zn 0.000 0.000 0.000
2 Si 0.000 0.500 0.500
3 S 0.500 0.500 0.500

Calculated values
Total moment = 0.000 Bohr magnetons per cell


two:
ZnSi3S: optimized geometry, PBE-GGA.

Unit cell a=4.673 b=4.673 c=4.673 alpha=90.00 beta=90.00 gamma=90.00
Space group Pm-3m (No. 221)
Symmetry-distinct sites (fractional):
1 Zn 0.000 0.000 0.000
2 Si 0.000 0.000 0.500
3 S 0.500 0.500 0.500

Calculated values
Total moment = 0.000 Bohr magnetons per cell


The calculated energies rank the structures as follows, beginning with the most stable: one, two.


one:
Zn2SiS: optimized geometry, PBE-GGA.

Unit cell a=5.816 b=5.816 c=9.992 alpha=90.00 beta=90.00 gamma=90.00
Space group I-42d (No. 122)
Symmetry-distinct sites (fractional):
1 Zn 0.237 0.250 0.125
2 Si 0.000 0.000 0.500
3 S 0.000 0.000 0.000

Calculated values
Total moment = 0.000 Bohr magnetons per cell


two:
Zn2SiS: optimized geometry, PBE-GGA.

Unit cell a=6.413 b=6.413 c=6.413 alpha=90.00 beta=90.00 gamma=90.00
Space group Fm-3m (No. 225)
Symmetry-distinct sites (fractional):
1 Zn 0.250 0.250 0.250
2 Si 0.000 0.000 0.000
3 S 0.000 0.000 0.500

Calculated values
Total moment = 0.000 Bohr magnetons per cell


The calculated energies rank the structures as follows, beginning with the most stable: one, two.


one:
Sm2SnS4: optimized geometry, PBE-GGA.

Unit cell a=15.020 b=4.090 c=7.110 alpha=90.00 beta=116.10 gamma=90.00
Space group C2/m (No. 12)
Symmetry-distinct sites (fractional):
1 Sm 0.223 0.000 0.216
2 Sn 0.000 0.500 0.500
3 S 0.132 0.500 0.943
4 S 0.145 0.000 0.507

Calculated values
Total moment = 0.000 Bohr magnetons per cell


two:
Sm2SnS4: optimized geometry, PBE-GGA.

Unit cell a=7.433 b=7.092 c=8.705 alpha=90.00 beta=103.20 gamma=90.00
Space group P2_1/m (No. 11)
Symmetry-distinct sites (fractional):
1 Sm 0.035 0.250 0.129
2 Sm 0.465 0.750 0.868
3 Sn 0.169 0.250 0.580
4 S 0.144 0.750 0.617
5 S 0.250 0.005 0.990
6 S 0.347 0.250 0.370

Calculated values
Total moment = 0.000 Bohr magnetons per cell


The calculated energies rank the structures as follows, beginning with the most stable: one, two.


one:
Sm2SnS: optimized geometry, PBE-GGA.

Unit cell a=4.254 b=22.999 c=4.277 alpha=90.00 beta=90.00 gamma=90.00
Space group Cmcm (No. 63)
Symmetry-distinct sites (fractional):
1 Sm 0.000 0.072 0.250
2 Sm 0.000 0.311 0.250
3 Sn 0.000 0.453 0.250
4 S 0.000 0.191 0.250

Calculated values
Total moment = 0.000 Bohr magnetons per cell


two:
Sm2SnS: optimized geometry, PBE-GGA.

Unit cell a=3.9823 b=3.9823 c=23.3071 alpha=90.00 beta=90.00 gamma=120.00
Space group R-3m (No. 166, hexagonal axes)
Symmetry-distinct sites (fractional):
1 Sm 0.0000 0.0000 0.2363
2 Sn 0.0000 0.0000 0.0000
3 S 0.0000 0.0000 0.5000

Calculated values
Total moment = 0.000 Bohr magnetons per cell


three:
Sm2SnS: optimized geometry, PBE-GGA.

Unit cell a=3.8873 b=3.8873 c=24.4445 alpha=90.00 beta=90.00 gamma=120.00
Space group R3m (No. 160, hexagonal axes)
Symmetry-distinct sites (fractional):
1 Sm 0.0000 0.0000 0.0000
2 Sm 0.0000 0.0000 0.1971
3 Sn 0.0000 0.0000 0.4312
4 S 0.0000 0.0000 0.5993

Calculated values
Total moment = 0.000 Bohr magnetons per cell


The calculated energies rank the structures as follows, beginning with the most stable: one, two, three.


one:
Sr2SmS3: optimized geometry, PBE-GGA.

Unit cell a=4.153 b=5.902 c=12.576 alpha=90.00 beta=90.00 gamma=90.00
Space group Immm (No. 71)
Symmetry-distinct sites (fractional):
1 Sr 0.000 0.000 0.169
2 Sm 0.000 0.000 0.500
3 S 0.000 0.500 0.157
4 S 0.000 0.500 0.500

Calculated values
Total moment = 0.000 Bohr magnetons per cell


two:
Sr2SmS3: optimized geometry, PBE-GGA.

Unit cell a=4.126 b=4.126 c=14.131 alpha=90.00 beta=90.00 gamma=90.00
Space group P4/mmm (No. 123)
Symmetry-distinct sites (fractional):
1 Sr 0.000 0.000 0.205
2 Sm 0.500 0.500 0.000
3 S 0.000 0.000 0.000
4 S 0.500 0.500 0.206

Calculated values
Total moment = 0.000 Bohr magnetons per cell


The calculated energies rank the structures as follows, beginning with the most stable: one, two.


one:
SrSm2S4: optimized geometry, PBE-GGA.

Unit cell a=11.996 b=4.100 c=14.644 alpha=90.00 beta=90.00 gamma=90.00
Space group Pnma (No. 62)
Symmetry-distinct sites (fractional):
1 Sr 0.248 0.250 0.159
2 Sm 0.074 0.250 0.895
3 Sm 0.083 0.250 0.393
4 S 0.011 0.750 0.784
5 S 0.078 0.250 0.583
6 S 0.140 0.750 0.021
7 S 0.215 0.750 0.316

Calculated values
Total moment = 0.000 Bohr magnetons per cell


two:
SrSm2S4: optimized geometry, PBE-GGA.

Unit cell a=8.632 b=8.632 c=8.624 alpha=90.00 beta=90.00 gamma=90.00
Space group I-42d (No. 122)
Symmetry-distinct sites (fractional):
1 Sr 0.000 0.000 0.000
2 Sm 0.125 0.250 0.625
3 S 0.075 0.173 0.311

Calculated values
Total moment = 0.000 Bohr magnetons per cell


The calculated energies rank the structures as follows, beginning with the most stable: one, two.


one:
TbSm2S4: optimized geometry, PBE-GGA.

Unit cell a=3.858 b=13.261 c=13.321 alpha=90.00 beta=90.00 gamma=90.00
Space group Cmcm (No. 63)
Symmetry-distinct sites (fractional):
1 Tb 0.000 0.127 0.250
2 Sm 0.000 0.371 0.071
3 S 0.000 0.000 0.000
4 S 0.000 0.278 0.624
5 S 0.000 0.478 0.250

Calculated values
Total moment = 0.000 Bohr magnetons per cell


two:
TbSm2S4: optimized geometry, PBE-GGA.

Unit cell a=7.966 b=8.033 c=11.123 alpha=90.00 beta=90.00 gamma=90.00
Space group Imma (No. 74)
Symmetry-distinct sites (fractional):
1 Tb 0.250 0.250 0.250
2 Sm 0.000 0.000 0.000
3 Sm 0.250 0.250 0.750
4 S 0.000 0.004 0.253
5 S 0.243 0.250 0.002

Calculated values
Total moment = 0.000 Bohr magnetons per cell


The calculated energies rank the structures as follows, beginning with the most stable: two, one.


one:
Tb2SmS4: optimized geometry, PBE-GGA.

Unit cell a=3.856 b=13.031 c=13.227 alpha=90.00 beta=90.00 gamma=90.00
Space group Cmcm (No. 63)
Symmetry-distinct sites (fractional):
1 Tb 0.000 0.130 0.069
2 Sm 0.000 0.374 0.250
3 S 0.000 0.031 0.250
4 S 0.000 0.225 0.621
5 S 0.000 0.500 0.000

Calculated values
Total moment = 0.000 Bohr magnetons per cell


two:
Tb2SmS4: optimized geometry, PBE-GGA.

Unit cell a=12.063 b=3.882 c=14.073 alpha=90.00 beta=90.00 gamma=90.00
Space group Pnma (No. 62)
Symmetry-distinct sites (fractional):
1 Tb 0.064 0.250 0.114
2 Tb 0.096 0.250 0.594
3 Sm 0.245 0.750 0.833
4 S 0.045 0.750 0.718
5 S 0.096 0.250 0.922
6 S 0.131 0.750 0.455
7 S 0.200 0.750 0.189

Calculated values
Total moment = 0.000 Bohr magnetons per cell


The calculated energies rank the structures as follows, beginning with the most stable: one, two.